Record 1
GGA-PBE Th3PbAu5, optimized geometry; energy of formation = -0.61 eV/atom; space-group type = P6_3/mcm; energy = -5.3181 eV per atom
1.0
-4.6339 -3.8135 2.0268
1.7551 -5.7048 -6.7211
4.2079 -0.9196 7.8902
Au Th Pb
10 6 2
direct
0.2500 0.0000 0.6784 Au
0.0000 0.3333 0.6665 Au
0.5000 0.3333 0.6665 Au
0.5000 0.6667 0.3335 Au
0.2500 0.3216 0.3216 Au
0.7500 0.6784 0.6784 Au
0.2500 0.6784 0.0000 Au
0.7500 0.3216 0.0000 Au
0.0000 0.6667 0.3335 Au
0.7500 0.0000 0.3216 Au
0.2500 0.0000 0.3524 Th
0.7500 0.6475 0.0000 Th
0.7500 0.0000 0.6476 Th
0.2500 0.3525 0.0000 Th
0.2500 0.6475 0.6476 Th
0.7500 0.3525 0.3524 Th
0.0000 0.0000 0.0000 Pb
0.5000 0.0000 0.0000 Pb


Record 2
GGA-PBE GeB3H, optimized geometry; space-group type = Pm-3m; energy = -3.2365 eV per atom
1.0
4.1494 0.0000 0.0000
0.0000 4.1494 0.0000
0.0000 0.0000 4.1494
B H Ge
3 1 1
direct
0.5000 0.0000 0.0000 B
0.0000 0.5000 0.0000 B
0.0000 0.0000 0.5000 B
0.5000 0.5000 0.5000 H
0.0000 0.0000 0.0000 Ge


Record 3
GGA-PBE Sr3LiRuO6, optimized geometry; space-group type = R-3c; raw formation energy = -24.21 eV per formula unit; energy = -6.3814 eV per atom
1.0
-4.4694 -4.7634 -1.7097
5.2243 -3.8615 -1.8397
0.2886 -2.1819 6.3832
Li O Sr Ru
2 12 6 2
direct
0.2500 0.2500 0.2500 Li
0.7500 0.7500 0.7500 Li
0.0826 0.9525 0.2804 O
0.9525 0.2804 0.0826 O
0.4525 0.5826 0.7804 O
0.0475 0.7196 0.9174 O
0.9174 0.0475 0.7196 O
0.7804 0.4525 0.5826 O
0.5826 0.7804 0.4525 O
0.5475 0.4174 0.2196 O
0.2804 0.0826 0.9525 O
0.4174 0.2196 0.5475 O
0.7196 0.9174 0.0475 O
0.2196 0.5475 0.4174 O
0.1083 0.3917 0.7500 Sr
0.7500 0.1083 0.3917 Sr
0.8917 0.6083 0.2500 Sr
0.3917 0.7500 0.1083 Sr
0.6083 0.2500 0.8917 Sr
0.2500 0.8917 0.6083 Sr
0.5000 0.5000 0.5000 Ru
0.0000 0.0000 0.0000 Ru